1.
VASP calculation (PBE) on crystalline Ba2Bi2F at its relaxed geometry.

The density of states at the Fermi level is 1.8 states/eV/f.u. Its formation energy from raw total energies is -1455 meV per atom. The calculated volume comes out at 36.06 A^3/atom.

It has space group P4/mbm (No. 127), with a = 8.001 Å, b = 8.001 Å, c = 5.633 Å, α = 90.00°, β = 90.00° and γ = 90.00°. The asymmetric unit holds Ba at (0.181, 0.319, 0.000), Bi at (0.130, 0.630, 0.500) and F at (0.000, 0.000, 0.000).

=====

2.
VASP calculation (PBE) on crystalline Tl3HgPd6 at its relaxed geometry.

The density of states at the Fermi level is 4.2 states/eV/f.u. The calculated volume comes out at 19.58 A^3/atom. The calculation puts the calculated formation energy at -0.060 eV/atom. As for the energy relative to the lowest polymorph listed for this composition: 83 meV/atom.

It has space group Cmc2_1 (No. 36), with a = 10.736 Å, b = 12.556 Å, c = 5.811 Å, α = 90.00°, β = 90.00° and γ = 90.00°. The asymmetric unit holds Tl at (0.000, 0.096, 0.000), Tl at (0.207, 0.434, 0.281), Hg at (0.000, 0.305, 0.756), Pd at (0.000, 0.288, 0.270), Pd at (0.000, 0.496, 0.022), Pd at (0.130, 0.096, 0.425) and Pd at (0.244, 0.227, 0.097).

=====

3.
VASP calculation (PBE) on crystalline TiCdPdPt2 at its relaxed geometry.

The density of states at the Fermi level is 6.0 states/eV/f.u. The calculated volume comes out at 21.97 A^3/atom. The calculation puts the calculated formation energy at 0.651 eV/atom.

It has space group P4/mmm (No. 123), with a = 5.002 Å, b = 5.002 Å, c = 4.392 Å, α = 90.00°, β = 90.00° and γ = 90.00°. The asymmetric unit holds Ti at (0.000, 0.000, 0.000), Cd at (0.500, 0.500, 0.000), Pd at (0.000, 0.000, 0.500) and Pt at (0.000, 0.500, 0.500).

=====

Number 1: spin magnetization 0.000 μB per atom. Number 2: spin magnetization 0.000 μB per atom. Number 3: spin magnetization 0.001 μB per atom.